1.
Crystalline CeZr6O14 at its relaxed geometry. Source: Alexandria via LeMat-Bulk, functional PBEsol.

As for the space group: No. 25. The uncorrected formation energy comes out at -3.4478 eV/atom.

Unit cell a=3.6258 b=25.3309 c=5.1995 alpha=90.00 beta=90.00 gamma=90.00
With the nearest neighbours (Å) after each atom.
Atoms (fractional coordinates):
Ce 0.0000 0.1445 0.0000  8 O 2.20-2.43
Ce 0.0000 0.8555 0.0000  8 O 2.20-2.43
Zr 0.0000 0.0000 0.0055  6 O 2.09-2.32
Zr 0.0000 0.2890 0.0065  4 O 2.07-2.09
Zr 0.0000 0.4297 0.0075  4 O 2.06-2.08
Zr 0.0000 0.5703 0.0075  4 O 2.06-2.08
Zr 0.0000 0.7110 0.0065  4 O 2.07-2.09
Zr 0.5000 0.0709 0.5025  7 O 2.08-2.32
Zr 0.5000 0.2177 0.5027  7 O 2.08-2.32
Zr 0.5000 0.3590 0.5091  4 O 2.07-2.08
Zr 0.5000 0.5000 0.5102  4 O 2.07-2.08
Zr 0.5000 0.6410 0.5091  4 O 2.07-2.08
Zr 0.5000 0.7823 0.5027  7 O 2.08-2.32
Zr 0.5000 0.9291 0.5025  7 O 2.08-2.32
O 0.0000 0.0692 0.2233  3 Zr 2.09-2.32, 1 Ce 2.23
O 0.0000 0.0689 0.7109  3 Zr 2.11-2.32
O 0.0000 0.2198 0.2230  3 Zr 2.08-2.32, 1 Ce 2.23
O 0.0000 0.2198 0.7104  3 Zr 2.11-2.33
O 0.0000 0.3594 0.2083  2 Zr 2.06-2.07
O 0.0000 0.3592 0.7070  2 Zr 2.08
O 0.0000 0.5000 0.2094  2 Zr 2.07
O 0.0000 0.5000 0.7078  2 Zr 2.08
O 0.0000 0.6406 0.2083  2 Zr 2.06-2.07
O 0.0000 0.6408 0.7070  2 Zr 2.08
O 0.0000 0.7802 0.2230  3 Zr 2.08-2.32, 1 Ce 2.23
O 0.0000 0.7802 0.7104  3 Zr 2.11-2.33
O 0.0000 0.9308 0.2233  3 Zr 2.09-2.32, 1 Ce 2.23
O 0.0000 0.9311 0.7109  3 Zr 2.11-2.32
O 0.5000 0.0000 0.3014  2 Zr 2.08
O 0.5000 0.0000 0.8037  2 Zr 2.09
O 0.5000 0.1445 0.2900  2 Zr 2.16-2.17, 2 Ce 2.36
O 0.5000 0.1443 0.7601  2 Ce 2.20, 2 Zr 2.29, 1 O 2.44
O 0.5000 0.2891 0.3051  2 Zr 2.07-2.08
O 0.5000 0.2885 0.8071  2 Zr 2.09
O 0.5000 0.4296 0.3091  2 Zr 2.07
O 0.5000 0.4296 0.8104  2 Zr 2.08
O 0.5000 0.5704 0.3091  2 Zr 2.07
O 0.5000 0.5704 0.8104  2 Zr 2.08
O 0.5000 0.7109 0.3051  2 Zr 2.07-2.08
O 0.5000 0.7115 0.8071  2 Zr 2.09
O 0.5000 0.8555 0.2900  2 Zr 2.16-2.17, 2 Ce 2.36
O 0.5000 0.8557 0.7601  2 Ce 2.20, 2 Zr 2.29, 1 O 2.44



2.
Crystalline IrPdI2N at its relaxed geometry. Source: Alexandria via LeMat-Bulk, functional PBEsol.

As for the space group: No. 123. The uncorrected formation energy comes out at 1.3119 eV/atom. The energy above the most stable polymorph in this dataset comes out at 751 meV per atom.

Unit cell a=5.3706 b=5.3706 c=3.5867 alpha=90.00 beta=90.00 gamma=90.00
With the nearest neighbours (Å) after each atom.
Atoms (fractional coordinates):
Ir 0.0000 0.0000 0.0000  8 I 3.23, 2 Ir 3.59
Pd 0.5000 0.5000 0.5000  2 N 1.79
I 0.0000 0.5000 0.5000  2 Pd 2.69
I 0.5000 0.0000 0.5000  2 Pd 2.69
N 0.5000 0.5000 0.0000  2 Pd 1.79



3.
Crystalline CsTeS2Cl at its relaxed geometry. Source: Alexandria via LeMat-Bulk, functional PBEsol.

As for the space group: No. 123. The uncorrected formation energy comes out at -0.5739 eV/atom.

Unit cell a=5.1103 b=5.1103 c=5.4589 alpha=90.00 beta=90.00 gamma=90.00
With the nearest neighbours (Å) after each atom.
Atoms (fractional coordinates):
Cs 0.0000 0.0000 0.0000  4 Cl 3.61, 8 S 3.74
Te 0.5000 0.5000 0.5000  4 S 2.56, 2 Cl 2.73
S 0.0000 0.5000 0.5000  2 Te 2.56
S 0.5000 0.0000 0.5000  2 Te 2.56
Cl 0.5000 0.5000 0.0000  2 Te 2.73



4.
Crystalline Cs4SiSe4 at its relaxed geometry. Source: Alexandria via LeMat-Bulk, functional PBEsol.

As for the space group: No. 218. The uncorrected formation energy comes out at -1.1055 eV/atom.

Unit cell a=14.0759 b=14.0759 c=14.0759 alpha=90.00 beta=90.00 gamma=90.00
With the nearest neighbours (Å) after each atom.
Atoms (fractional coordinates):
Cs 0.0845 0.1357 0.3481  6 Se 3.58-3.71, 1 Si 3.69
Cs 0.0845 0.8643 0.6519  6 Se 3.58-3.71, 1 Si 3.69
Cs 0.1357 0.3481 0.0845  6 Se 3.58-3.71, 1 Si 3.69
Cs 0.1357 0.6519 0.9155  6 Se 3.58-3.71, 1 Si 3.69
Cs 0.1524 0.1524 0.8476  6 Se 3.66-3.68, 1 Si 3.72
Cs 0.1519 0.3643 0.5845  6 Se 3.58-3.71, 1 Si 3.69
Cs 0.1519 0.6357 0.4155  6 Se 3.58-3.71, 1 Si 3.69
Cs 0.1524 0.8476 0.1524  6 Se 3.66-3.68, 1 Si 3.72
Cs 0.3481 0.0845 0.1357  6 Se 3.58-3.71, 1 Si 3.69
Cs 0.3476 0.3476 0.3476  6 Se 3.66-3.68, 1 Si 3.72
Cs 0.3476 0.6524 0.6524  6 Se 3.66-3.68, 1 Si 3.72
Cs 0.3481 0.9155 0.8643  6 Se 3.58-3.71, 1 Si 3.69
Cs 0.3643 0.4155 0.8481  6 Se 3.58-3.71, 1 Si 3.69
Cs 0.3643 0.5845 0.1519  6 Se 3.58-3.71, 1 Si 3.69
Cs 0.4155 0.1519 0.6357  6 Se 3.58-3.71, 1 Si 3.69
Cs 0.4155 0.8481 0.3643  6 Se 3.58-3.71, 1 Si 3.69
Cs 0.5845 0.1519 0.3643  6 Se 3.58-3.71, 1 Si 3.69
Cs 0.5845 0.8481 0.6357  6 Se 3.58-3.71, 1 Si 3.69
Cs 0.6357 0.4155 0.1519  6 Se 3.58-3.71, 1 Si 3.69
Cs 0.6357 0.5845 0.8481  6 Se 3.58-3.71, 1 Si 3.69
Cs 0.6519 0.0845 0.8643  6 Se 3.58-3.71, 1 Si 3.69
Cs 0.6524 0.3476 0.6524  6 Se 3.66-3.68, 1 Si 3.72
Cs 0.6524 0.6524 0.3476  6 Se 3.66-3.68, 1 Si 3.72
Cs 0.6519 0.9155 0.1357  6 Se 3.58-3.71, 1 Si 3.69
Cs 0.8476 0.1524 0.1524  6 Se 3.66-3.68, 1 Si 3.72
Cs 0.8481 0.3643 0.4155  6 Se 3.58-3.71, 1 Si 3.69
Cs 0.8481 0.6357 0.5845  6 Se 3.58-3.71, 1 Si 3.69
Cs 0.8476 0.8476 0.8476  6 Se 3.66-3.68, 1 Si 3.72
Cs 0.8643 0.3481 0.9155  6 Se 3.58-3.71, 1 Si 3.69
Cs 0.8643 0.6519 0.0845  6 Se 3.58-3.71, 1 Si 3.69
Cs 0.9155 0.1357 0.6519  6 Se 3.58-3.71, 1 Si 3.69
Cs 0.9155 0.8643 0.3481  6 Se 3.58-3.71, 1 Si 3.69
Si 0.0000 0.0000 0.0000  4 Se 2.29
Si 0.0000 0.5000 0.2500  4 Se 2.30
Si 0.0000 0.5000 0.7500  4 Se 2.30
Si 0.2500 0.0000 0.5000  4 Se 2.30
Si 0.5000 0.2500 0.0000  4 Se 2.30
Si 0.5000 0.5000 0.5000  4 Se 2.29
Si 0.5000 0.7500 0.0000  4 Se 2.30
Si 0.7500 0.0000 0.5000  4 Se 2.30
Se 0.0910 0.3984 0.3396  1 Si 2.30
Se 0.0910 0.6016 0.6604  1 Si 2.30
Se 0.0940 0.0940 0.0940  1 Si 2.29
Se 0.0940 0.9060 0.9060  1 Si 2.29
Se 0.1016 0.4090 0.8396  1 Si 2.30
Se 0.1016 0.5910 0.1604  1 Si 2.30
Se 0.1604 0.1016 0.5910  1 Si 2.30
Se 0.1604 0.8984 0.4090  1 Si 2.30
Se 0.3396 0.0910 0.3984  1 Si 2.30
Se 0.3396 0.9090 0.6016  1 Si 2.30
Se 0.3984 0.3396 0.0910  1 Si 2.30
Se 0.3984 0.6604 0.9090  1 Si 2.30
Se 0.4060 0.4060 0.5940  1 Si 2.29
Se 0.4060 0.5940 0.4060  1 Si 2.29
Se 0.4090 0.1604 0.8984  1 Si 2.30
Se 0.4090 0.8396 0.1016  1 Si 2.30
Se 0.5910 0.1604 0.1016  1 Si 2.30
Se 0.5910 0.8396 0.8984  1 Si 2.30
Se 0.5940 0.4060 0.4060  1 Si 2.29
Se 0.5940 0.5940 0.5940  1 Si 2.29
Se 0.6016 0.3396 0.9090  1 Si 2.30
Se 0.6016 0.6604 0.0910  1 Si 2.30
Se 0.6604 0.0910 0.6016  1 Si 2.30
Se 0.6604 0.9090 0.3984  1 Si 2.30
Se 0.8396 0.1016 0.4090  1 Si 2.30
Se 0.8396 0.8984 0.5910  1 Si 2.30
Se 0.8984 0.4090 0.1604  1 Si 2.30
Se 0.8984 0.5910 0.8396  1 Si 2.30
Se 0.9060 0.0940 0.9060  1 Si 2.29
Se 0.9060 0.9060 0.0940  1 Si 2.29
Se 0.9090 0.3984 0.6604  1 Si 2.30
Se 0.9090 0.6016 0.3396  1 Si 2.30



5.
Crystalline Ca3MgCu at its relaxed geometry. Source: Alexandria via LeMat-Bulk, functional PBEsol.

As for the space group: No. 107. The energy relative to the elements comes out at 37 kJ/mol of atoms.

Unit cell a=4.5470 b=4.5470 c=17.7876 alpha=90.00 beta=90.00 gamma=90.00
With the nearest neighbours (Å) after each atom.
Atoms (fractional coordinates):
Ca 0.0000 0.0000 0.0000  4 Cu 3.37, 1 Mg 3.39, 4 Ca 3.71
Ca 0.0000 0.5000 0.3352  2 Cu 2.97, 4 Ca 3.22
Ca 0.0000 0.5000 0.8352  2 Cu 2.97, 4 Ca 3.22
Ca 0.5000 0.0000 0.3352  2 Cu 2.97, 4 Ca 3.22
Ca 0.5000 0.0000 0.8352  2 Cu 2.97, 4 Ca 3.22
Ca 0.5000 0.5000 0.5000  4 Cu 3.37, 1 Mg 3.39, 4 Ca 3.71
Mg 0.0000 0.0000 0.1906  5 Ca 3.39-3.43
Mg 0.5000 0.5000 0.6906  5 Ca 3.39-3.43
Cu 0.0000 0.0000 0.4426  4 Ca 2.97
Cu 0.5000 0.5000 0.9426  4 Ca 2.97



6.
Crystalline K3MnRe at its relaxed geometry. Source: Alexandria via LeMat-Bulk, functional PBEsol.

As for the space group: No. 221. The energy relative to the elements comes out at 205 kJ/mol of atoms.

Unit cell a=6.2242 b=6.2242 c=6.2242 alpha=90.00 beta=90.00 gamma=90.00
With the nearest neighbours (Å) after each atom.
Atoms (fractional coordinates):
K 0.0000 0.0000 0.5000  2 Re 3.11
K 0.0000 0.5000 0.0000  2 Re 3.11
K 0.5000 0.0000 0.0000  2 Re 3.11
Mn 0.5000 0.5000 0.5000  12 K 4.40
Re 0.0000 0.0000 0.0000  6 K 3.11